# CrRuAu2 | Alexandria via LeMat-Bulk | PBEsol | relaxed
# Total energy, Ha/atom: -0.2430
# Calculated formation energy, eV/f.u.: 1.8
data_CrRuAu2
_symmetry_space_group_name_H-M 'P 4/m m m'
_symmetry_Int_Tables_number 123
_symmetry_space_group_name_Hall '-P 4 2'
_cell_length_a 2.857
_cell_length_b 2.857
_cell_length_c 7.499
_cell_angle_alpha 90.00
_cell_angle_beta 90.00
_cell_angle_gamma 90.00
loop_
_atom_site_label
_atom_site_fract_x
_atom_site_fract_y
_atom_site_fract_z
_atom_site_occupancy
Cr1 0.000 0.000 0.000 1
Ru1 0.000 0.000 0.500 1
Au1 0.500 0.500 0.244 1